The following is a DFT calculation (PBE-GGA) of ZnPtBr2 after structural relaxation.

Results
- Formation energy (no corrections): -0.073 eV per atom
- D(E_F): 2.070 states/eV/f.u.
- Energy above the most stable polymorph in this dataset: 0.165 eV per atom
- Total moment: 0.9 μB/f.u.
- Density: 5.322 Mg/m³

Lattice parameters (Å, degrees): 4.9793 3.8822 7.2140 90.00 109.88 90.00
Space group P2/m (No. 10)
One atom of each set of equivalent atoms:
Zn (0.0000, 0.0000, 0.0000) (multiplicity 1)
Pt (0.5000, 0.0000, 0.0000) (multiplicity 1)
Br (0.3744, 0.5000, 0.7439) (multiplicity 2)